# TaTl4Hg

A geometry-optimized TaTl4Hg structure (GGA-PBE, Alexandria).

Cell lengths 8.776, 8.776, 8.776 Å; angles 90.00, 90.00, 90.00 degrees
Space group F-43m (No. 216)
Symmetry-distinct sites (fractional):
Ta  0.000  0.000  0.000
Tl  0.125  0.125  0.625
Hg  0.250  0.250  0.250

## Properties
The total magnetization comes out at 2.67 μB per formula unit. Its formation energy is 20.42 kcal/mol of atoms. The calculation puts the density of states at the Fermi level at 18.796 states/eV/cell.